No. 1
Computed, not measured: a relaxed Dy5InSb4 crystal at the PBE level of DFT.

Results
ρ in Mg/m³: 7.9
Fermi-level density of states in states/eV/f.u.: 5.52

a b c (Å): 9.8176 9.8176 6.1863
angles (deg): 90.00 90.00 90.00
Closest atoms and distances in Å follow each position.
Space group I4/m (No. 87)
Asymmetric unit:
Dy  0.0000  0.0000  0.0000  2 In 3.09, 4 Sb 3.10
Dy  0.1036  0.6920  0.5000  5 Sb 3.03-3.12, 1 In 3.19
In  0.0000  0.0000  0.5000  6 Dy 3.09-3.19
Sb  0.1011  0.7012  0.0000  6 Dy 3.03-3.12

No. 2
Computed, not measured: a relaxed Dy5In2Sb crystal at the PBE level of DFT.

Results
E above lowest polymorph in meV per atom: 135
ρ in Mg/m³: 8.8
Fermi-level density of states in states/eV/f.u.: 9.14

a b c (Å): 7.5102 7.5102 7.8191
angles (deg): 90.00 90.00 90.00
Closest atoms and distances in Å follow each position.
Space group I4mm (No. 107)
Asymmetric unit:
Dy  0.0000  0.0000  0.0000  1 Sb 3.20, 8 Dy 3.24-3.40
Dy  0.2348  0.2348  0.7042  4 Dy 3.24-3.53, 2 Sb 3.24-3.40, 4 In 3.27-3.34
In  0.0000  0.5000  0.4619  8 Dy 3.27-3.34
Sb  0.0000  0.0000  0.4092  9 Dy 3.20-3.40

No. 3
Computed, not measured: a relaxed Dy5In2Sb crystal at the PBE level of DFT.

Results
E above lowest polymorph in meV per atom: 0
ρ in Mg/m³: 8.5
Fermi-level density of states in states/eV/f.u.: 8.23

a b c (Å): 8.4033 8.4033 12.8358
angles (deg): 90.00 90.00 90.00
Closest atoms and distances in Å follow each position.
Space group I4/mcm (No. 140)
Asymmetric unit:
Dy  0.0000  0.0000  0.0000  2 Sb 3.21, 4 In 3.23
Dy  0.1551  0.3449  0.1511  3 In 3.08-3.18, 1 Dy 3.40, 2 Sb 3.42
In  0.1439  0.3561  0.5000  8 Dy 3.08-3.23, 1 In 3.42
Sb  0.0000  0.0000  0.2500  10 Dy 3.21-3.42

No. 4
Computed, not measured: a relaxed Dy3InSb crystal at the PBE level of DFT.

Results
ρ in Mg/m³: 8.6
Fermi-level density of states in states/eV/f.u.: 5.27

a b c (Å): 3.7876 8.3503 9.2097
angles (deg): 103.63 99.83 92.08
Closest atoms and distances in Å follow each position.
Space group P-1 (No. 2)
Asymmetric unit:
Dy  0.0720  0.2850  0.0055  3 Sb 3.15-3.38, 3 In 3.29-3.47, 2 Dy 3.35-3.43
Dy  0.1949  0.3307  0.3910  3 Sb 3.15-3.27, 2 In 3.25-3.31, 2 Dy 3.43-3.46
Dy  0.2035  0.8527  0.3706  2 Sb 3.12-3.18, 2 In 3.16-3.35, 3 Dy 3.35-3.46
In  0.4046  0.9554  0.8224  1 In 3.13, 7 Dy 3.16-3.47
Sb  0.3624  0.4508  0.7620  8 Dy 3.12-3.38

Uncorrected formation energy values (in meV per atom) by entry order: -902.6, -390.2, -525.4, -526.8.